Entry 1:
Computed, not measured: crystalline SrPrCu2Sb2 at its relaxed geometry at the PBE level of DFT.

Cell: 4.4716 4.4716 8.7910 Å, 90.00 90.00 120.00°
Space group P-3m1 (No. 164)
Inequivalent atoms, fractional coordinates:
Sr 0.0000 0.0000 0.0000
Pr 0.0000 0.0000 0.5000
Cu 0.3333 0.6667 0.7146
Sb 0.3333 0.6667 0.2555

The magnetic moment is 0.0 μB per formula unit. Its density of states at the Fermi level is 2.89 states/eV per cell. The value obtained for the raw formation energy is -4.4 eV per formula unit. The value obtained for the theoretical density is 6.54 g/cm3.

Entry 2:
Computed, not measured: crystalline Pr2ScCu at its relaxed geometry at the PBE level of DFT.

Cell: 3.4200 3.4200 33.1734 Å, 90.00 90.00 120.00°
Space group R-3m (No. 166, hexagonal axes)
Inequivalent atoms, fractional coordinates:
Pr 0.0000 0.0000 0.0983
Sc 0.0000 0.0000 0.0000
Cu 0.0000 0.0000 0.5000

The magnetic moment is 0.0 μB per formula unit. Its density of states at the Fermi level is 18.61 states/eV per cell. As for the energy relative to the elements: 316.9 meV/atom. The value obtained for the theoretical density is 5.79 g/cm3.

Entry 3:
Computed, not measured: crystalline PrScCu at its relaxed geometry at the PBE level of DFT.

Cell: 4.6547 4.6547 3.8940 Å, 90.00 90.00 120.00°
Space group P-6m2 (No. 187)
Inequivalent atoms, fractional coordinates:
Pr 0.0000 0.0000 0.0000
Sc 0.6667 0.3333 0.5000
Cu 0.3333 0.6667 0.5000

The magnetic moment is 0.0 μB per formula unit. Its density of states at the Fermi level is 3.81 states/eV per cell. As for the energy relative to the elements: 25.5 meV/atom. The value obtained for the theoretical density is 5.67 g/cm3.

Entry 4:
Computed, not measured: crystalline PrSc5Cu4 at its relaxed geometry at the PBE level of DFT.

Cell: 3.266 3.266 18.470 Å, 90.00 90.00 90.00°
Space group P4/mmm (No. 123)
Inequivalent atoms, fractional coordinates:
Pr 0.000 0.000 0.000
Sc 0.500 0.500 0.146
Sc 0.500 0.500 0.322
Sc 0.500 0.500 0.500
Cu 0.000 0.000 0.232
Cu 0.000 0.000 0.412

The magnetic moment is 0.0 μB per formula unit. Its density of states at the Fermi level is 7.78 states/eV per cell. As for the energy relative to the elements: -200.0 meV/atom. The value obtained for the theoretical density is 5.23 g/cm3.

Entry 5:
Computed, not measured: crystalline PrSc2Cu6 at its relaxed geometry at the PBE level of DFT.

Cell: 3.364 7.228 12.973 Å, 90.00 90.00 90.00°
Space group Immm (No. 71)
Inequivalent atoms, fractional coordinates:
Pr 0.000 0.000 0.000
Sc 0.000 0.500 0.140
Cu 0.000 0.170 0.500
Cu 0.000 0.307 0.320

The magnetic moment is 0.0 μB per formula unit. Its density of states at the Fermi level is 10.38 states/eV per cell. As for the energy relative to the elements: -119.5 meV/atom. The value obtained for the theoretical density is 6.44 g/cm3.

Entry 6:
Computed, not measured: crystalline PrScCu17 at its relaxed geometry at the PBE level of DFT.

Cell: 8.5244 8.5244 12.5299 Å, 90.00 90.00 120.00°
Space group R3m (No. 160, hexagonal axes)
Inequivalent atoms, fractional coordinates:
Pr 0.0000 0.0000 0.0000
Sc 0.0000 0.0000 0.6827
Cu 0.0000 0.0000 0.2479
Cu 0.0000 0.0000 0.4441
Cu 0.0010 0.5005 0.8419
Cu 0.0037 0.2984 0.3422
Cu 0.0059 0.5029 0.1879
Cu 0.0060 0.5030 0.4953

The magnetic moment is 0.0 μB per formula unit. Its density of states at the Fermi level is 25.43 states/eV per cell. As for the energy relative to the elements: -80.9 meV/atom. The value obtained for the theoretical density is 8.00 g/cm3.

Entry 7:
Computed, not measured: crystalline Pr2ScCu at its relaxed geometry at the PBE level of DFT.

Cell: 3.651 3.651 8.133 Å, 90.00 90.00 90.00°
Space group P4/mmm (No. 123)
Inequivalent atoms, fractional coordinates:
Pr 0.000 0.000 0.217
Sc 0.500 0.500 0.500
Cu 0.500 0.500 0.000

The magnetic moment is 0.4 μB per formula unit. Its density of states at the Fermi level is 6.07 states/eV per cell. As for the energy relative to the elements: -8.2 meV/atom. The value obtained for the theoretical density is 5.98 g/cm3.

Entry 8:
Computed, not measured: crystalline PrSc5Cu6 at its relaxed geometry at the PBE level of DFT.

Cell: 4.706 6.600 14.184 Å, 90.00 90.00 90.00°
Space group Immm (No. 71)
Inequivalent atoms, fractional coordinates:
Pr 0.000 0.000 0.000
Sc 0.000 0.000 0.331
Sc 0.000 0.500 0.000
Sc 0.000 0.500 0.333
Cu 0.000 0.216 0.500
Cu 0.000 0.266 0.175

The magnetic moment is 0.0 μB per formula unit. Its density of states at the Fermi level is 16.81 states/eV per cell. As for the energy relative to the elements: -223.8 meV/atom. The value obtained for the theoretical density is 5.63 g/cm3.

Entry 9:
Computed, not measured: crystalline Pr2ScCu at its relaxed geometry at the PBE level of DFT.

Cell: 5.427 5.427 3.612 Å, 90.00 90.00 90.00°
Space group P4/mmm (No. 123)
Inequivalent atoms, fractional coordinates:
Pr 0.000 0.500 0.000
Sc 0.000 0.000 0.500
Cu 0.500 0.500 0.500

The magnetic moment is 0.0 μB per formula unit. Its density of states at the Fermi level is 4.46 states/eV per cell. As for the energy relative to the elements: 62.6 meV/atom. The value obtained for the theoretical density is 6.09 g/cm3.

Entry 10:
Computed, not measured: crystalline PrSc3Cu at its relaxed geometry at the PBE level of DFT.

Cell: 5.077 5.077 5.077 Å, 90.00 90.00 90.00°
Space group Pm-3m (No. 221)
Inequivalent atoms, fractional coordinates:
Pr 0.000 0.000 0.000
Sc 0.000 0.500 0.500
Cu 0.500 0.500 0.500

The magnetic moment is 0.0 μB per formula unit. Its density of states at the Fermi level is 6.02 states/eV per cell. As for the energy relative to the elements: 73.1 meV/atom. The value obtained for the theoretical density is 4.31 g/cm3.

Entry 11:
Computed, not measured: crystalline PrScCu at its relaxed geometry at the PBE level of DFT.

Cell: 3.429 3.429 12.148 Å, 90.00 90.00 90.00°
Space group I4mm (No. 107)
Inequivalent atoms, fractional coordinates:
Pr 0.000 0.000 0.000
Sc 0.000 0.000 0.281
Cu 0.000 0.000 0.675

The magnetic moment is 0.0 μB per formula unit. Its density of states at the Fermi level is 6.92 states/eV per cell. As for the energy relative to the elements: -91.8 meV/atom. The value obtained for the theoretical density is 5.80 g/cm3.

Entry 12:
Computed, not measured: crystalline PrScCu2Se4 at its relaxed geometry at the PBE level of DFT.

Cell: 6.663 7.059 7.969 Å, 90.00 90.00 90.00°
Space group I222 (No. 23)
Inequivalent atoms, fractional coordinates:
Pr 0.000 0.000 0.000
Sc 0.000 0.000 0.500
Cu 0.000 0.500 0.157
Se 0.227 0.210 0.313

The magnetic moment is 0.0 μB per formula unit. Its density of states at the Fermi level is 1.29 states/eV per cell. The value obtained for the raw formation energy is -8.1 eV per formula unit. The value obtained for the theoretical density is 5.57 g/cm3.